Run P
NaLiS2: relaxed, PBEsol.

Calculated values
V, Å³ per cell: 170
Spin magnetization, Bohr magnetons per cell: 0.00
Space group: I-42d, No. 122

a b c (Å): 4.711 4.711 8.359
angles (deg): 106.37 106.37 90.00
Positions (direct):
Na (0.250, 0.750, 0.500)
Na (0.000, 0.000, 0.000)
S (0.557, 0.875, 0.250)
S (0.693, 0.375, 0.250)
S (0.125, 0.307, 0.750)
S (0.625, 0.443, 0.750)
Li (0.750, 0.250, 0.500)
Li (0.500, 0.500, 0.000)

***

Run Q
NaLiS2: relaxed, PBEsol.

Calculated values
V, Å³ per cell: 67
Spin magnetization, Bohr magnetons per cell: 0.00
Space group: Fm-3m, No. 225

a b c (Å): 4.550 4.550 4.550
angles (deg): 60.00 60.00 60.00
Positions (direct):
Na (0.500, 0.500, 0.500)
S (0.250, 0.250, 0.250)
S (0.750, 0.750, 0.750)
Li (0.000, 0.000, 0.000)

***

Which structure is most stable? run P, by 0.229 eV/atom over the runner-up.

***

Run P
Na2SrLi: relaxed, PBEsol.

Calculated values
V, Å³ per cell: 147
Spin magnetization, Bohr magnetons per cell: 0.00
Space group: Fm-3m, No. 225

a b c (Å): 5.920 5.920 5.920
angles (deg): 60.00 60.00 60.00
Positions (direct):
Sr (0.500, 0.500, 0.500)
Na (0.250, 0.250, 0.250)
Na (0.750, 0.750, 0.750)
Li (0.000, 0.000, 0.000)

***

Run Q
Na2SrLi: relaxed, PBEsol.

Calculated values
V, Å³ per cell: 307
Spin magnetization, Bohr magnetons per cell: 0.00
Space group: I-42d, No. 122

a b c (Å): 4.876 4.876 13.357
angles (deg): 100.52 100.52 90.00
Positions (direct):
Sr (0.250, 0.750, 0.500)
Sr (0.000, 0.000, 0.000)
Li (0.750, 0.250, 0.500)
Li (0.500, 0.500, 0.000)
Na (0.407, 0.875, 0.250)
Na (0.843, 0.375, 0.250)
Na (0.125, 0.157, 0.750)
Na (0.625, 0.593, 0.750)

***

Which structure is most stable? run P, by 0.062 eV/atom over the runner-up.

***

Run P
NaSr2Li2: relaxed, PBEsol.

Calculated values
V, Å³ per cell: 374
Spin magnetization, Bohr magnetons per cell: 0.00
Space group: P4/mbm, No. 127

a b c (Å): 4.951 8.693 8.693
angles (deg): 90.00 90.00 90.00
Positions (direct):
Sr (0.500, 0.174, 0.674)
Sr (0.500, 0.674, 0.826)
Sr (0.500, 0.826, 0.326)
Sr (0.500, 0.326, 0.174)
Li (0.000, 0.379, 0.879)
Li (0.000, 0.879, 0.621)
Li (0.000, 0.621, 0.121)
Li (0.000, 0.121, 0.379)
Na (0.000, 0.000, 0.000)
Na (0.000, 0.500, 0.500)

***

Run Q
NaSr2Li2: relaxed, PBEsol.

Calculated values
V, Å³ per cell: 184
Spin magnetization, Bohr magnetons per cell: 0.00
Space group: I4/mmm, No. 139

a b c (Å): 4.061 4.061 11.513
angles (deg): 100.16 100.16 90.00
Positions (direct):
Sr (0.382, 0.382, 0.764)
Sr (0.618, 0.618, 0.236)
Na (0.000, 0.000, 0.000)
Li (0.250, 0.750, 0.500)
Li (0.750, 0.250, 0.500)

***

Which structure is most stable? run P, by 0.048 eV/atom over the runner-up.

***

Run P
LiNbNiO4: relaxed, PBEsol.

Calculated values
V, Å³ per cell: 152
Spin magnetization, Bohr magnetons per cell: 3.99
Space group: Imma, No. 74

a b c (Å): 5.942 5.966 5.966
angles (deg): 61.99 60.13 60.13
Each line ends with the local moment (μB).
Positions (direct):
Li (0.135, 0.115, 0.615)  0.00
Li (0.865, 0.885, 0.385)  0.00
Nb (0.500, 0.000, 0.000)  0.04
Nb (0.500, 0.500, 0.500)  0.04
Ni (0.000, 0.500, 0.000)  1.49
Ni (0.500, 0.500, 0.000)  1.49
O (0.278, 0.247, 0.747)  0.07
O (0.728, 0.247, 0.747)  0.07
O (0.272, 0.753, 0.253)  0.07
O (0.722, 0.753, 0.253)  0.07
O (0.263, 0.263, 0.212)  0.12
O (0.263, 0.712, 0.763)  0.12
O (0.737, 0.737, 0.788)  0.12
O (0.737, 0.288, 0.237)  0.12

***

Run Q
LiNbNiO4: relaxed, PBEsol.

Calculated values
V, Å³ per cell: 298
Spin magnetization, Bohr magnetons per cell: 7.71
Space group: P4_322, No. 95

a b c (Å): 5.932 5.932 8.462
angles (deg): 90.00 90.00 90.00
Each line ends with the local moment (μB).
Positions (direct):
Li (0.000, 0.242, 0.000)  0.00
Li (0.000, 0.758, 0.500)  0.00
Li (0.242, 0.000, 0.250)  0.00
Li (0.758, 0.000, 0.750)  0.00
Nb (0.254, 0.254, 0.625)  0.10
Nb (0.254, 0.746, 0.875)  0.10
Nb (0.746, 0.254, 0.375)  0.10
Nb (0.746, 0.746, 0.125)  0.10
Ni (0.246, 0.500, 0.250)  1.46
Ni (0.500, 0.246, 0.000)  1.46
Ni (0.500, 0.754, 0.500)  1.46
Ni (0.754, 0.500, 0.750)  1.46
O (0.009, 0.259, 0.253)  0.06
O (0.009, 0.741, 0.247)  0.06
O (0.259, 0.009, 0.997)  0.06
O (0.259, 0.991, 0.503)  0.06
O (0.259, 0.492, 0.011)  0.10
O (0.259, 0.508, 0.489)  0.10
O (0.492, 0.259, 0.239)  0.10
O (0.492, 0.741, 0.261)  0.10
O (0.508, 0.259, 0.761)  0.10
O (0.508, 0.741, 0.739)  0.10
O (0.741, 0.508, 0.511)  0.10
O (0.741, 0.492, 0.989)  0.10
O (0.741, 0.009, 0.003)  0.06
O (0.741, 0.991, 0.497)  0.06
O (0.991, 0.259, 0.747)  0.06
O (0.991, 0.741, 0.753)  0.06

***

Which structure is most stable? run Q, by 0.021 eV/atom over the runner-up.

***

Run P
Li3NbO4: relaxed, PBEsol.

Calculated values
V, Å³ per cell: 297
Spin magnetization, Bohr magnetons per cell: 0.00
Space group: I-43m, No. 217

a b c (Å): 7.278 7.278 7.278
angles (deg): 109.47 109.47 109.47
Positions (direct):
Li (0.272, 0.000, 0.514)
Li (0.728, 0.242, 0.728)
Li (0.486, 0.758, 0.486)
Li (0.242, 0.728, 0.728)
Li (0.514, 0.000, 0.272)
Li (0.758, 0.486, 0.486)
Li (0.728, 0.728, 0.242)
Li (0.000, 0.272, 0.514)
Li (0.272, 0.514, 0.000)
Li (0.000, 0.514, 0.272)
Li (0.486, 0.486, 0.758)
Li (0.514, 0.272, 0.000)
Nb (0.000, 0.719, 0.000)
Nb (0.000, 0.000, 0.719)
Nb (0.281, 0.281, 0.281)
Nb (0.719, 0.000, 0.000)
O (0.512, 0.000, 0.758)
O (0.758, 0.512, 0.000)
O (0.242, 0.242, 0.754)
O (0.488, 0.488, 0.246)
O (0.229, 0.000, 0.000)
O (0.771, 0.771, 0.771)
O (0.000, 0.000, 0.229)
O (0.000, 0.229, 0.000)
O (0.512, 0.758, 0.000)
O (0.488, 0.246, 0.488)
O (0.000, 0.758, 0.512)
O (0.758, 0.000, 0.512)
O (0.000, 0.512, 0.758)
O (0.242, 0.754, 0.242)
O (0.246, 0.488, 0.488)
O (0.754, 0.242, 0.242)

***

Run Q
Li3NbO4: relaxed, PBEsol.

Calculated values
V, Å³ per cell: 71
Spin magnetization, Bohr magnetons per cell: 0.00
Space group: I4/mmm, No. 139

a b c (Å): 4.122 4.122 5.110
angles (deg): 113.79 113.79 90.00
Positions (direct):
Nb (0.000, 0.000, 0.000)
O (0.230, 0.230, 0.461)
O (0.770, 0.770, 0.539)
O (0.000, 0.500, 0.000)
O (0.500, 0.000, 0.000)
Li (0.750, 0.250, 0.500)
Li (0.250, 0.750, 0.500)
Li (0.500, 0.500, 0.000)

***

Which structure is most stable? run P, by 0.058 eV/atom over the runner-up.

***

Run P
LiNb2P3O12: relaxed, PBEsol.

Calculated values
V, Å³ per cell: 965
Spin magnetization, Bohr magnetons per cell: 8.01
Space group: P2_1/c, No. 14

a b c (Å): 8.804 8.883 12.346
angles (deg): 90.00 90.52 90.00
Each line ends with the local moment (μB).
Positions (direct):
Li (0.712, 0.229, 0.682)  0.00
Li (0.288, 0.771, 0.318)  0.00
Li (0.788, 0.729, 0.818)  0.00
Li (0.212, 0.271, 0.182)  0.00
Nb (0.250, 0.030, 0.619)  0.65
Nb (0.754, 0.543, 0.613)  1.06
Nb (0.746, 0.043, 0.887)  1.06
Nb (0.750, 0.970, 0.381)  0.65
Nb (0.750, 0.470, 0.119)  0.65
Nb (0.246, 0.457, 0.387)  1.06
Nb (0.254, 0.957, 0.113)  1.06
Nb (0.250, 0.530, 0.881)  0.65
P (0.112, 0.597, 0.145)  0.02
P (0.899, 0.114, 0.146)  0.02
P (0.962, 0.250, 0.507)  0.02
P (0.538, 0.750, 0.993)  0.02
P (0.388, 0.097, 0.355)  0.02
P (0.888, 0.403, 0.855)  0.02
P (0.399, 0.386, 0.646)  0.02
P (0.038, 0.750, 0.493)  0.02
P (0.612, 0.903, 0.645)  0.02
P (0.462, 0.250, 0.007)  0.02
P (0.601, 0.614, 0.354)  0.02
P (0.101, 0.886, 0.854)  0.02
O (0.829, 0.523, 0.774)  0.00
O (0.433, 0.655, 0.920)  -0.01
O (0.820, 0.013, 0.230)  0.00
O (0.131, 0.848, 0.570)  0.00
O (0.438, 0.901, 0.648)  0.00
O (0.067, 0.155, 0.580)  -0.01
O (0.350, 0.167, 0.082)  0.00
O (0.325, 0.253, 0.323)  0.00
O (0.562, 0.099, 0.352)  0.00
O (0.554, 0.139, 0.939)  0.00
O (0.830, 0.449, 0.967)  -0.01
O (0.671, 0.023, 0.726)  0.00
O (0.320, 0.487, 0.730)  0.00
O (0.675, 0.747, 0.677)  0.00
O (0.848, 0.065, 0.033)  0.00
O (0.369, 0.348, 0.930)  0.00
O (0.054, 0.361, 0.439)  0.00
O (0.363, 0.218, 0.665)  -0.01
O (0.933, 0.845, 0.420)  -0.01
O (0.329, 0.977, 0.274)  0.00
O (0.170, 0.551, 0.033)  -0.01
O (0.680, 0.513, 0.270)  0.00
O (0.330, 0.051, 0.467)  -0.01
O (0.073, 0.097, 0.159)  0.00
O (0.152, 0.935, 0.967)  0.00
O (0.631, 0.652, 0.070)  0.00
O (0.446, 0.861, 0.061)  0.00
O (0.137, 0.718, 0.835)  -0.01
O (0.650, 0.833, 0.918)  0.00
O (0.171, 0.477, 0.226)  0.00
O (0.850, 0.333, 0.582)  0.00
O (0.175, 0.753, 0.177)  0.00
O (0.863, 0.282, 0.165)  -0.01
O (0.062, 0.401, 0.852)  0.00
O (0.938, 0.599, 0.148)  0.00
O (0.927, 0.903, 0.841)  0.00
O (0.670, 0.949, 0.533)  -0.01
O (0.150, 0.667, 0.418)  0.00
O (0.348, 0.435, 0.533)  0.00
O (0.573, 0.403, 0.659)  0.00
O (0.946, 0.639, 0.561)  0.00
O (0.427, 0.597, 0.341)  0.00
O (0.180, 0.987, 0.770)  0.00
O (0.637, 0.782, 0.335)  -0.01
O (0.825, 0.247, 0.823)  0.00
O (0.652, 0.565, 0.467)  0.00
O (0.567, 0.345, 0.080)  -0.01
O (0.869, 0.152, 0.430)  0.00

***

Run Q
LiNb2P3O12: relaxed, PBEsol.

Calculated values
V, Å³ per cell: 498
Spin magnetization, Bohr magnetons per cell: 4.00
Space group: P-1, No. 2

a b c (Å): 8.705 8.680 9.061
angles (deg): 91.02 118.59 118.93
Each line ends with the local moment (μB).
Positions (direct):
P (0.724, 0.468, 0.747)  0.01
P (0.285, 0.755, 0.742)  0.02
P (0.715, 0.245, 0.258)  0.02
P (0.987, 0.956, 0.244)  0.02
P (0.276, 0.532, 0.253)  0.01
P (0.013, 0.044, 0.756)  0.02
Nb (0.792, 0.134, 0.932)  0.88
Nb (0.212, 0.358, 0.569)  0.83
Nb (0.208, 0.866, 0.068)  0.88
Nb (0.788, 0.642, 0.431)  0.83
O (0.240, 0.523, 0.406)  0.00
O (0.285, 0.708, 0.217)  0.00
O (0.715, 0.292, 0.783)  0.00
O (0.508, 0.089, 0.233)  -0.01
O (0.482, 0.552, 0.309)  0.00
O (0.864, 0.966, 0.059)  0.00
O (0.518, 0.448, 0.691)  0.00
O (0.274, 0.572, 0.732)  0.00
O (0.138, 0.904, 0.254)  0.00
O (0.123, 0.148, 0.385)  -0.01
O (0.269, 0.802, 0.895)  0.00
O (0.166, 0.194, 0.719)  0.00
O (0.907, 0.642, 0.911)  -0.01
O (0.136, 0.034, 0.941)  0.00
O (0.760, 0.477, 0.594)  0.00
O (0.862, 0.096, 0.746)  0.00
O (0.093, 0.358, 0.089)  -0.01
O (0.106, 0.733, 0.559)  0.00
O (0.731, 0.198, 0.105)  0.00
O (0.726, 0.428, 0.268)  0.00
O (0.894, 0.267, 0.441)  0.00
O (0.492, 0.911, 0.767)  -0.01
O (0.834, 0.806, 0.281)  0.00
O (0.877, 0.852, 0.615)  -0.01
Li (0.800, 0.255, 0.607)  0.00
Li (0.200, 0.745, 0.393)  0.00

***

Which structure is most stable? run P, by 0.008 eV/atom over the runner-up.

***

Run P
LiNbP4O12: relaxed, PBEsol.

Calculated values
V, Å³ per cell: 576
Spin magnetization, Bohr magnetons per cell: 4.00
Space group: C2/m, No. 12

a b c (Å): 5.423 10.772 10.772
angles (deg): 70.56 78.76 78.76
Each line ends with the local moment (μB).
Positions (direct):
Li (0.512, 0.595, 0.595)  0.00
Li (0.488, 0.405, 0.405)  0.00
Nb (0.000, 0.000, 0.500)  1.66
Nb (0.000, 0.500, 0.000)  1.66
P (0.170, 0.206, 0.637)  0.01
P (0.170, 0.637, 0.206)  0.01
P (0.541, 0.301, 0.065)  0.01
P (0.541, 0.065, 0.301)  0.01
P (0.459, 0.699, 0.935)  0.01
P (0.459, 0.935, 0.699)  0.01
P (0.830, 0.363, 0.794)  0.01
P (0.830, 0.794, 0.363)  0.01
O (0.000, 0.232, 0.768)  0.00
O (0.000, 0.768, 0.232)  0.00
O (0.255, 0.083, 0.330)  0.00
O (0.255, 0.330, 0.083)  0.00
O (0.997, 0.433, 0.838)  0.00
O (0.997, 0.838, 0.433)  0.00
O (0.313, 0.318, 0.560)  0.00
O (0.313, 0.560, 0.318)  0.00
O (0.360, 0.711, 0.080)  0.01
O (0.360, 0.080, 0.711)  0.01
O (0.618, 0.149, 0.149)  0.00
O (0.319, 0.610, 0.902)  0.01
O (0.319, 0.902, 0.610)  0.01
O (0.681, 0.098, 0.390)  0.01
O (0.681, 0.390, 0.098)  0.01
O (0.382, 0.851, 0.851)  0.00
O (0.640, 0.289, 0.920)  0.01
O (0.640, 0.920, 0.289)  0.01
O (0.687, 0.440, 0.682)  0.00
O (0.687, 0.682, 0.440)  0.00
O (0.003, 0.162, 0.567)  0.00
O (0.003, 0.567, 0.162)  0.00
O (0.745, 0.670, 0.917)  0.00
O (0.745, 0.917, 0.670)  0.00

***

Run Q
LiNbP4O12: relaxed, PBEsol.

Calculated values
V, Å³ per cell: 449
Spin magnetization, Bohr magnetons per cell: 4.00
Space group: C2/c, No. 15

a b c (Å): 7.296 7.296 9.947
angles (deg): 99.21 109.11 109.60
Each line ends with the local moment (μB).
Positions (direct):
Li (0.726, 0.976, 0.750)  0.00
Li (0.274, 0.024, 0.250)  0.00
Nb (0.500, 0.500, 0.500)  1.64
Nb (0.500, 0.000, 0.000)  1.64
P (0.498, 0.684, 0.195)  0.01
P (0.772, 0.724, 0.023)  0.01
P (0.201, 0.749, 0.477)  0.01
P (0.011, 0.697, 0.695)  0.01
P (0.989, 0.303, 0.305)  0.01
P (0.799, 0.251, 0.523)  0.01
P (0.228, 0.276, 0.977)  0.01
P (0.502, 0.316, 0.805)  0.01
O (0.550, 0.654, 0.346)  0.00
O (0.631, 0.807, 0.925)  0.01
O (0.681, 0.668, 0.147)  0.00
O (0.004, 0.841, 0.094)  0.00
O (0.805, 0.710, 0.683)  0.01
O (0.718, 0.499, 0.926)  0.00
O (0.618, 0.294, 0.425)  0.01
O (0.246, 0.909, 0.406)  0.00
O (0.074, 0.792, 0.574)  0.00
O (0.193, 0.796, 0.846)  0.00
O (0.021, 0.534, 0.353)  0.00
O (0.527, 0.121, 0.817)  0.01
O (0.473, 0.879, 0.183)  0.01
O (0.979, 0.466, 0.647)  0.00
O (0.807, 0.204, 0.154)  0.00
O (0.926, 0.208, 0.426)  0.00
O (0.754, 0.091, 0.594)  0.00
O (0.382, 0.706, 0.575)  0.01
O (0.282, 0.501, 0.074)  0.00
O (0.195, 0.290, 0.317)  0.01
O (0.996, 0.159, 0.906)  0.00
O (0.319, 0.332, 0.853)  0.00
O (0.369, 0.193, 0.075)  0.01
O (0.450, 0.346, 0.654)  0.00

***

Which structure is most stable? run Q, by 0.020 eV/atom over the runner-up.